VASP calculation (GGA+U) on a relaxed structure of NaMnIO2.

Results
- Total moment: 4.817 μB/cell
- Symmetry: P4/mmm
- Energy: -3.80 eV/atom

Lattice parameters (Å, degrees): 4.290 5.576 4.290 90.00 90.00 90.00
Site moments in Bohr magnetons follow the coordinates.
Fractional coordinates of all 5 atoms:
1 Na 0.500 0.500 0.500  -0.01
2 O 0.500 0.000 0.000  0.02
3 O 0.000 0.000 0.500  0.01
4 I 0.000 0.000 0.000  -0.01
5 Mn 0.000 0.500 0.000  4.55